(1)
Dy2Y2NCl5: optimized geometry, PBE.

The structure in POSCAR format:
```
Dy2Y2NCl5
1.0
8.393 -1.826 0.000
8.393 1.826 0.000
-1.865 0.000 7.507
Y Dy N Cl
2 2 1 5
Direct
0.001 0.001 0.792
0.999 0.999 0.208
0.643 0.643 0.079
0.357 0.357 0.921
0.500 0.500 0.000
0.836 0.836 0.655
0.500 0.500 0.500
0.164 0.164 0.345
0.172 0.172 0.833
0.828 0.828 0.167
```

Output
* SG: C2/m (12)
* total magnetization: 0.0 μB/cell
* final energy: -0.4286 Ry/atom
* calculated volume: 23.0 A^3/atom



(2)
DyYNCl3: optimized geometry, PBE.

The structure in POSCAR format:
```
DyYNCl3
1.0
8.241 -1.914 0.000
8.241 1.914 0.000
-5.736 0.000 9.141
Y Dy N Cl
2 2 2 6
Direct
0.417 0.417 0.544
0.583 0.583 0.456
0.862 0.862 0.207
0.138 0.138 0.793
0.423 0.423 0.342
0.577 0.577 0.658
0.333 0.333 0.987
0.956 0.956 0.752
0.220 0.220 0.615
0.780 0.780 0.385
0.667 0.667 0.013
0.044 0.044 0.248
```

Output
* SG: C2/m (12)
* ΔE to the lowest computed polymorph: 3.1 meV per atom
* total magnetization: 0.0 μB/cell
* calculated volume: 24.0 A^3/atom



(3)
Na2Dy3Te4Cl3O12: optimized geometry, PBE.

The structure in POSCAR format:
```
Na2Dy3Te4Cl3O12
1.0
11.829 -2.758 0.000
11.829 2.758 0.000
-11.559 0.000 11.881
Te O Dy Cl Na
8 24 6 6 4
Direct
0.930 0.342 0.700
0.561 0.162 0.093
0.439 0.838 0.907
0.342 0.930 0.200
0.162 0.561 0.593
0.070 0.658 0.300
0.838 0.439 0.407
0.658 0.070 0.800
0.570 0.604 0.428
0.069 0.102 0.078
0.430 0.396 0.572
0.146 0.991 0.214
0.396 0.430 0.072
0.523 0.619 0.091
0.029 0.122 0.389
0.898 0.931 0.422
0.878 0.971 0.111
0.604 0.570 0.928
0.122 0.029 0.889
0.645 0.502 0.258
0.102 0.069 0.578
0.355 0.498 0.742
0.971 0.878 0.611
0.009 0.854 0.286
0.854 0.009 0.786
0.477 0.381 0.909
0.619 0.523 0.591
0.502 0.645 0.758
0.931 0.898 0.922
0.498 0.355 0.242
0.991 0.146 0.714
0.381 0.477 0.409
0.248 0.750 0.915
0.250 0.752 0.585
0.252 0.748 0.250
0.748 0.252 0.750
0.750 0.248 0.415
0.752 0.250 0.085
0.503 0.998 0.832
0.500 0.000 0.500
0.002 0.497 0.668
0.998 0.503 0.332
0.497 0.002 0.168
0.000 0.500 0.000
0.610 0.058 0.427
0.058 0.610 0.927
0.390 0.942 0.573
0.942 0.390 0.073
```

Output
* SG: C2/c (15)
* total magnetization: 0.0 μB/cell
* final energy: -0.4375 Ry/atom
* calculated volume: 16.1 A^3/atom



(4)
NdDySbCl2: optimized geometry, PBE.

The structure in POSCAR format:
```
NdDySbCl2
1.0
-0.002 1.728 -3.863
0.606 -4.163 0.455
-10.500 -1.607 -0.715
Dy Sb Cl Nd
1 1 2 1
Direct
0.000 0.000 0.830
0.667 0.333 0.992
0.333 0.667 0.690
0.000 0.000 0.319
0.333 0.667 0.169
```

Output
* SG: P3m1 (156)
* total magnetization: 0.0 μB/cell
* final energy: -0.3742 Ry/atom
* calculated volume: 33.0 A^3/atom



(5)
Dy4Cl4O3: optimized geometry, PBE.

The structure in POSCAR format:
```
Dy4Cl4O3
1.0
3.728 0.000 0.000
0.000 7.480 0.000
0.000 0.000 7.687
Cl Dy O
4 4 3
Direct
0.000 0.248 0.160
0.000 0.752 0.160
0.500 0.000 0.841
0.500 0.500 0.836
0.000 0.252 0.656
0.000 0.748 0.656
0.500 0.000 0.349
0.500 0.500 0.339
0.500 0.260 0.500
0.000 0.000 0.501
0.500 0.740 0.500
```

Output
* SG: Pmm2 (25)
* total magnetization: 0.0 μB/cell
* final energy: -0.4764 Ry/atom
* calculated volume: 19.5 A^3/atom



(6)
Dy2PClO4: optimized geometry, PBE.

The structure in POSCAR format:
```
Dy2PClO4
1.0
-2.379 13.224 -0.398
-4.758 -0.868 -0.414
2.439 0.564 4.159
O P Cl Dy
8 2 2 4
Direct
0.654 0.210 0.813
0.750 0.682 0.441
0.154 0.813 0.210
0.250 0.073 0.953
0.250 0.441 0.682
0.750 0.953 0.073
0.346 0.813 0.210
0.846 0.210 0.813
0.250 0.804 0.026
0.750 0.026 0.804
0.500 0.671 0.671
0.000 0.671 0.671
0.107 0.224 0.767
0.893 0.767 0.224
0.607 0.767 0.224
0.393 0.224 0.767
```

Output
* SG: Ama2 (40)
* total magnetization: 4.0 μB/cell
* final energy: -0.5064 Ry/atom
* calculated volume: 16.0 A^3/atom



(7)
Dy3Se2ClO8: optimized geometry, PBE.

The structure in POSCAR format:
```
Dy3Se2ClO8
1.0
-1.734 -4.962 -0.829
11.186 -5.348 8.623
-6.284 0.756 8.620
Dy O Se Cl
12 32 8 4
Direct
0.986 0.075 0.866
0.471 0.250 0.858
0.014 0.575 0.134
0.486 0.425 0.634
0.029 0.750 0.358
0.514 0.575 0.366
0.529 0.750 0.142
0.014 0.925 0.134
0.971 0.250 0.642
0.986 0.425 0.866
0.486 0.075 0.634
0.514 0.925 0.366
0.693 0.950 0.560
0.626 0.632 0.001
0.619 0.988 0.814
0.374 0.132 0.999
0.874 0.368 0.501
0.229 0.158 0.749
0.271 0.658 0.249
0.693 0.550 0.560
0.881 0.012 0.314
0.307 0.050 0.440
0.119 0.988 0.686
0.874 0.132 0.501
0.193 0.950 0.940
0.126 0.868 0.499
0.729 0.158 0.751
0.381 0.012 0.186
0.771 0.658 0.251
0.193 0.550 0.940
0.881 0.488 0.314
0.729 0.342 0.751
0.626 0.868 0.001
0.126 0.632 0.499
0.771 0.842 0.251
0.374 0.368 0.999
0.807 0.450 0.060
0.619 0.512 0.814
0.271 0.842 0.249
0.119 0.512 0.686
0.381 0.488 0.186
0.807 0.050 0.060
0.229 0.342 0.749
0.307 0.450 0.440
0.954 0.602 0.628
0.954 0.898 0.628
0.046 0.102 0.372
0.046 0.398 0.372
0.546 0.102 0.128
0.546 0.398 0.128
0.454 0.602 0.872
0.454 0.898 0.872
0.412 0.250 0.500
0.588 0.750 0.500
0.912 0.250 0.000
0.088 0.750 0.000
```

Output
* SG: Pnma (62)
* total magnetization: 0.0 μB/cell
* final energy: -0.5013 Ry/atom
* calculated volume: 15.3 A^3/atom



(8)
SmDyCl2O2: optimized geometry, PBE.

The structure in POSCAR format:
```
SmDyCl2O2
1.0
3.934 0.000 0.000
0.000 3.934 0.000
0.000 0.000 6.741
O Sm Cl Dy
2 1 2 1
Direct
0.000 0.500 0.996
0.500 0.000 0.996
0.500 0.500 0.174
0.500 0.500 0.628
0.000 0.000 0.373
0.000 0.000 0.833
```

Output
* SG: P4mm (99)
* total magnetization: 0.0 μB/cell
* final energy: -0.5059 Ry/atom
* calculated volume: 17.4 A^3/atom